This record from the Alexandria database describes a relaxed structure of HfZn3As. The functional is GGA-PBE.

Geometry as POSCAR:
```
HfZn3As
1.0
-0.6456 3.9819 3.2011
-5.0928 -0.2442 -0.7234
-0.4075 -3.2565 3.9685
As Hf Zn
1 1 3
direct
0.5000 0.5000 0.5000
0.0000 0.0000 0.0000
0.0000 0.5000 0.0000
0.0000 0.0000 0.5000
0.5000 0.0000 0.0000
```

Results
SG: Pm-3m, No. 221
uncorrected energy: -12.9 eV/cell
energy above the most stable polymorph in this dataset: 423 meV/atom


This record from the Alexandria database describes a relaxed structure of Hf2ZnAs2. The functional is GGA-PBE.

Geometry as POSCAR:
```
Hf2ZnAs2
1.0
7.3883 0.0000 0.0000
0.0000 7.3883 0.0000
0.0000 0.0000 3.5413
As Hf Zn
4 4 2
direct
0.1493 0.6493 0.5000
0.6493 0.8507 0.5000
0.8507 0.3507 0.5000
0.3507 0.1493 0.5000
0.3514 0.8514 0.0000
0.8514 0.6486 0.0000
0.6486 0.1486 0.0000
0.1486 0.3514 0.0000
0.0000 0.0000 0.0000
0.5000 0.5000 0.0000
```

Results
SG: P4/mbm, No. 127
uncorrected energy: -66.5 eV/cell


This record from the Alexandria database describes a relaxed structure of HfZnAs3. The functional is GGA-PBE.

Geometry as POSCAR:
```
HfZnAs3
1.0
4.7500 0.0000 0.0000
0.0000 4.7500 0.0000
0.0000 0.0000 4.7500
As Hf Zn
3 1 1
direct
0.0000 0.5000 0.0000
0.0000 0.0000 0.5000
0.5000 0.0000 0.0000
0.5000 0.5000 0.5000
0.0000 0.0000 0.0000
```

Results
SG: Pm-3m, No. 221
uncorrected energy: -22.2 eV/cell
energy above the most stable polymorph in this dataset: 290 meV/atom


This record from the Alexandria database describes a relaxed structure of Hf8Zn2As. The functional is GGA-PBE.

Geometry as POSCAR:
```
Hf8Zn2As
1.0
5.2202 -0.2027 -0.3042
-1.1549 7.2129 -0.4746
-1.1549 -3.2160 6.4737
Hf Zn As
8 2 1
direct
0.8576 0.9101 0.6753
0.8576 0.6753 0.9101
0.2995 0.6001 0.6001
0.5000 0.7761 0.2239
0.5000 0.2239 0.7761
0.7005 0.3999 0.3999
0.1424 0.3247 0.0899
0.1424 0.0899 0.3247
0.0000 0.3059 0.6941
0.0000 0.6941 0.3059
0.5000 0.0000 0.0000
```

Results
SG: C2/m, No. 12
uncorrected energy: -87.0 eV/cell


This record from the Alexandria database describes a relaxed structure of Hf3ZnAs. The functional is GGA-PBE.

Geometry as POSCAR:
```
Hf3ZnAs
1.0
4.9208 0.0000 0.0000
0.0000 4.9208 0.0000
0.0000 0.0000 4.9208
As Hf Zn
1 3 1
direct
0.0000 0.0000 0.0000
0.0000 0.5000 0.0000
0.0000 0.0000 0.5000
0.5000 0.0000 0.0000
0.5000 0.5000 0.5000
```

Results
SG: Pm-3m, No. 221
uncorrected energy: -34.5 eV/cell
energy above the most stable polymorph in this dataset: 0 meV/atom


This record from the Alexandria database describes a relaxed structure of Hf2ZnAs2. The functional is GGA-PBE.

Geometry as POSCAR:
```
Hf2ZnAs2
1.0
-3.5253 4.5909 -4.5089
-6.4348 -2.5214 2.4638
-0.0038 2.4533 2.5008
As Hf Zn
4 4 2
direct
0.3507 0.8507 0.0000
0.8507 0.6493 0.0000
0.6493 0.1493 0.0000
0.1493 0.3507 0.0000
0.1465 0.6465 0.5000
0.6465 0.8535 0.5000
0.8535 0.3535 0.5000
0.3535 0.1465 0.5000
0.0000 0.0000 0.0000
0.5000 0.5000 0.0000
```

Results
SG: P4/mbm, No. 127
uncorrected energy: -66.2 eV/cell


This record from the Alexandria database describes a relaxed structure of HfZnAs3. The functional is GGA-PBE.

Geometry as POSCAR:
```
HfZnAs3
1.0
-3.9424 -2.3078 -2.3594
-1.7406 -1.6690 4.5409
-2.8041 4.2807 0.4984
As Hf Zn
3 1 1
direct
0.0000 0.5000 0.0000
0.0000 0.0000 0.5000
0.5000 0.0000 0.0000
0.0000 0.0000 0.0000
0.5000 0.5000 0.5000
```

Results
SG: Pm-3m, No. 221
uncorrected energy: -23.6 eV/cell
energy above the most stable polymorph in this dataset: 0 meV/atom


This record from the Alexandria database describes a relaxed structure of Hf3ZrAs2. The functional is GGA-PBE.

Geometry as POSCAR:
```
Hf3ZrAs2
1.0
3.6492 0.0000 0.0000
-1.8246 9.1118 -0.6701
0.0000 -4.6156 7.4938
Hf Zr As
6 2 4
direct
0.3169 0.6338 0.5294
0.9508 0.9016 0.5660
0.6540 0.3080 0.8324
0.3460 0.6920 0.1676
0.0492 0.0984 0.4340
0.6831 0.3662 0.4706
0.8892 0.7783 0.8955
0.1108 0.2217 0.1045
0.4942 0.9884 0.8291
0.5058 0.0116 0.1709
0.7542 0.5084 0.2410
0.2458 0.4916 0.7590
```

Results
SG: C2/m, No. 12
uncorrected energy: -103.9 eV/cell


This record from the Alexandria database describes a relaxed structure of Hf2ZrAs3. The functional is GGA-PBE.

Geometry as POSCAR:
```
Hf2ZrAs3
1.0
-1.3437 -1.4559 -3.1009
0.3302 -5.9382 2.6449
-9.5612 1.0866 3.6331
Hf Zr As
4 2 6
direct
0.0000 0.9940 0.2014
0.5000 0.0037 0.4849
0.0000 0.4940 0.7986
0.5000 0.5037 0.5151
0.0000 0.0123 0.8781
0.0000 0.5123 0.1219
0.5000 0.1918 0.0558
0.5000 0.2193 0.7147
0.0000 0.2801 0.3809
0.5000 0.6918 0.9442
0.5000 0.7193 0.2853
0.0000 0.7801 0.6191
```

Results
SG: Pmc2_1, No. 26
uncorrected energy: -95.5 eV/cell


This record from the Alexandria database describes a relaxed structure of Hf5Zr2As4. The functional is GGA-PBE.

Geometry as POSCAR:
```
Hf5Zr2As4
1.0
3.3825 0.0000 0.0000
0.0000 6.7888 -1.1300
-1.6913 -5.8967 11.4788
Hf Zr As
5 2 4
direct
0.1870 0.8557 0.3741
0.8130 0.1443 0.6259
0.1540 0.2804 0.3080
0.5000 0.0000 0.0000
0.8460 0.7196 0.6920
0.0537 0.7577 0.1075
0.9463 0.2423 0.8925
0.7274 0.6612 0.4549
0.9293 0.6020 0.8585
0.2726 0.3388 0.5451
0.0707 0.3980 0.1415
```

Results
SG: C2/m, No. 12
uncorrected energy: -89.1 eV/cell


This record from the Alexandria database describes a relaxed structure of HfZr2As2. The functional is GGA-PBE.

Geometry as POSCAR:
```
HfZr2As2
1.0
7.2428 0.0000 0.0000
0.0000 7.2428 0.0000
0.0000 0.0000 3.6867
As Hf Zr
4 2 4
direct
0.3563 0.8563 0.0000
0.8563 0.6437 0.0000
0.6437 0.1437 0.0000
0.1437 0.3563 0.0000
0.0000 0.0000 0.0000
0.5000 0.5000 0.0000
0.1579 0.6579 0.5000
0.6579 0.8421 0.5000
0.8421 0.3421 0.5000
0.3421 0.1579 0.5000
```

Results
SG: P4/mbm, No. 127
uncorrected energy: -82.5 eV/cell
energy above the most stable polymorph in this dataset: 0 meV/atom


This record from the Alexandria database describes a relaxed structure of HfZrAs3. The functional is GGA-PBE.

Geometry as POSCAR:
```
HfZrAs3
1.0
-0.9281 4.9787 -0.0841
-1.7577 -0.2475 4.7440
4.6589 0.8984 1.7730
As Hf Zr
3 1 1
direct
0.0000 0.5000 0.0000
0.0000 0.0000 0.5000
0.5000 0.0000 0.0000
0.5000 0.5000 0.5000
0.0000 0.0000 0.0000
```

Results
SG: Pm-3m, No. 221
uncorrected energy: -30.3 eV/cell
energy above the most stable polymorph in this dataset: 186 meV/atom